Record 1
The following is a meta-GGA SCAN calculation of a PBEsol-optimized structure of Ta2Be2Al, from Alexandria.

a = 6.0798 Å, b = 6.0798 Å, c = 3.5329 Å
α = 90.00°, β = 90.00°, γ = 90.00°
Last column: nearest neighbours and their distance in Å.
Atoms (fractional coordinates):
Ta 0.1765 0.3235 0.0000  6 Be 2.50-2.54
Ta 0.3235 0.8235 0.0000  6 Be 2.50-2.54
Ta 0.6765 0.1765 0.0000  6 Be 2.50-2.54
Ta 0.8235 0.6765 0.0000  6 Be 2.50-2.54
Be 0.1183 0.6183 0.5000  1 Be 2.03
Be 0.3817 0.1183 0.5000  1 Be 2.03
Be 0.6183 0.8817 0.5000  1 Be 2.03
Be 0.8817 0.3817 0.5000  1 Be 2.03
Al 0.0000 0.0000 0.5000  4 Be 2.43
Al 0.5000 0.5000 0.5000  4 Be 2.43

Calculated values
Calculated total energy = -30.137 eV per atom
Volume = 13.06 Å³ per atom
Formation energy from the elements = -212 meV/atom

=====

Record 2
The following is a meta-GGA SCAN calculation of a PBEsol-optimized structure of Ca2Sb2O7, from Alexandria.

a = 7.3273 Å, b = 7.3273 Å, c = 7.3273 Å
α = 60.00°, β = 60.00°, γ = 60.00°
Last column: nearest neighbours and their distance in Å.
Atoms (fractional coordinates):
Ca 0.0000 0.0000 0.0000  2 O 2.24
Ca 0.0000 0.0000 0.5000  2 O 2.24
Ca 0.0000 0.5000 0.0000  2 O 2.24
Ca 0.5000 0.0000 0.0000  2 O 2.24
Sb 0.0000 0.5000 0.5000  6 O 1.99
Sb 0.5000 0.0000 0.5000  6 O 1.99
Sb 0.5000 0.5000 0.0000  6 O 1.99
Sb 0.5000 0.5000 0.5000  6 O 1.99
O 0.1250 0.1250 0.1250  4 Ca 2.24
O 0.1750 0.1750 0.5750  2 Sb 1.99
O 0.1750 0.5750 0.1750  2 Sb 1.99
O 0.1750 0.5750 0.5750  2 Sb 1.99
O 0.4250 0.4250 0.8250  2 Sb 1.99
O 0.4250 0.8250 0.4250  2 Sb 1.99
O 0.4250 0.8250 0.8250  2 Sb 1.99
O 0.5750 0.1750 0.1750  2 Sb 1.99
O 0.5750 0.1750 0.5750  2 Sb 1.99
O 0.5750 0.5750 0.1750  2 Sb 1.99
O 0.8250 0.4250 0.4250  2 Sb 1.99
O 0.8250 0.4250 0.8250  2 Sb 1.99
O 0.8250 0.8250 0.4250  2 Sb 1.99
O 0.8750 0.8750 0.8750  4 Ca 2.24

Calculated values
Calculated total energy = -14.832 eV per atom
Volume = 12.64 Å³ per atom
ΔE_f (raw) = -2.3347 eV per atom

=====

Record 3
The following is a meta-GGA SCAN calculation of a PBEsol-optimized structure of CdGePS2, from Alexandria.

a = 4.6459 Å, b = 4.6459 Å, c = 4.7023 Å
α = 90.00°, β = 90.00°, γ = 90.00°
Last column: nearest neighbours and their distance in Å.
Atoms (fractional coordinates):
Cd 0.0000 0.0000 0.0000  4 P 3.29, 8 S 3.31
Ge 0.5000 0.5000 0.5000  4 S 2.32, 2 P 2.35
P 0.5000 0.5000 0.0000  2 Ge 2.35
S 0.0000 0.5000 0.5000  2 Ge 2.32
S 0.5000 0.0000 0.5000  2 Ge 2.32

Calculated values
Calculated total energy = -15.287 eV per atom
Volume = 20.30 Å³ per atom
ΔE_f (raw) = 0.5440 eV per atom